Below is crystalline MnSiH2Cl at its relaxed geometry, with properties calculated at the PBE-GGA level.

Summary:
total DFT energy (no corrections) = -4.07 eV/atom

a b c (Å): 3.3093 3.3093 7.5732
angles (deg): 90.00 90.00 90.00
Closest atoms and distances in Å follow each position.
Fractional positions:
Mn 0.0000 0.0000 0.0000  4 Si 2.34
Si 0.5000 0.5000 0.0000  4 Mn 2.34
H 0.0000 0.5000 0.5000  2 Cl 1.65
H 0.5000 0.0000 0.5000  2 Cl 1.65
Cl 0.0000 0.0000 0.5000  4 H 1.65